Entry 1:
Computed, not measured: a relaxed CoRu2W crystal at the PBE level of DFT.

Geometry as CIF:
```
data_CoRu2W
_chemical_formula_sum 'Co1 Ru2 W1'
_symmetry_space_group_name_H-M 'P 1'
_symmetry_Int_Tables_number 1
_cell_length_a 8.8358
_cell_length_b 8.8358
_cell_length_c 8.8358
_cell_angle_alpha 17.66
_cell_angle_beta 17.66
_cell_angle_gamma 17.66
loop_
_symmetry_equiv_pos_as_xyz
'x,y,z'
loop_
_atom_site_label
_atom_site_type_symbol
_atom_site_fract_x
_atom_site_fract_y
_atom_site_fract_z
_atom_site_occupancy
Ru1 Ru 0.2516 0.2516 0.2516 1
Ru2 Ru 0.0027 0.0027 0.0027 1
Co1 Co 0.7483 0.7483 0.7483 1
W1 W 0.4974 0.4974 0.4974 1
```

Results
The calculated formation energy is 21.1 kJ per mole of atoms. Its calculated volume is 55.4 Å³ per cell. The magnetic moment is 0.7 Bohr magnetons per cell.

=====

Entry 2:
Computed, not measured: a relaxed AcGa5Ni crystal at the PBE level of DFT.

Geometry as CIF:
```
data_AcGa5Ni
_chemical_formula_sum 'Ac1 Ga5 Ni1'
_symmetry_space_group_name_H-M 'P 1'
_symmetry_Int_Tables_number 1
_cell_length_a 4.4518
_cell_length_b 4.4518
_cell_length_c 7.2502
_cell_angle_alpha 90.00
_cell_angle_beta 90.00
_cell_angle_gamma 90.00
loop_
_symmetry_equiv_pos_as_xyz
'x,y,z'
loop_
_atom_site_label
_atom_site_type_symbol
_atom_site_fract_x
_atom_site_fract_y
_atom_site_fract_z
_atom_site_occupancy
Ga1 Ga 0.0000 0.5000 0.6785 1
Ga2 Ga 0.0000 0.5000 0.3215 1
Ga3 Ga 0.5000 0.0000 0.6785 1
Ga4 Ga 0.5000 0.0000 0.3215 1
Ni1 Ni 0.0000 0.0000 0.5000 1
Ac1 Ac 0.0000 0.0000 0.0000 1
Ga5 Ga 0.5000 0.5000 0.0000 1
```

Results
The calculated formation energy is -33.4 kJ per mole of atoms. Its calculated volume is 143.7 Å³ per cell. The magnetic moment is 0.0 Bohr magnetons per cell.

=====

Entry 3:
Computed, not measured: a relaxed MoSI crystal at the PBE level of DFT.

Geometry as CIF:
```
data_MoSI
_chemical_formula_sum 'Mo4 S4 I4'
_symmetry_space_group_name_H-M 'P 1'
_symmetry_Int_Tables_number 1
_cell_length_a 7.4156
_cell_length_b 7.4156
_cell_length_c 7.4156
_cell_angle_alpha 60.00
_cell_angle_beta 60.00
_cell_angle_gamma 60.00
loop_
_symmetry_equiv_pos_as_xyz
'x,y,z'
loop_
_atom_site_label
_atom_site_type_symbol
_atom_site_fract_x
_atom_site_fract_y
_atom_site_fract_z
_atom_site_occupancy
S1 S 0.1204 0.6265 0.6265 1
Mo1 Mo 0.7841 0.4053 0.4053 1
S2 S 0.6265 0.6265 0.1205 1
I1 I 0.1267 0.6199 0.1267 1
Mo2 Mo 0.4053 0.7841 0.4053 1
S3 S 0.6265 0.1205 0.6265 1
Mo3 Mo 0.4053 0.4053 0.4053 1
S4 S 0.6265 0.6265 0.6265 1
I2 I 0.1267 0.1267 0.6199 1
Mo4 Mo 0.4053 0.4053 0.7841 1
I3 I 0.6199 0.1267 0.1267 1
I4 I 0.1267 0.1267 0.1267 1
```

Results
The value obtained for the formation energy without anion corrections is -603 meV/atom. Its calculated volume is 288.4 Å³ per cell. The magnetic moment is 0.0 Bohr magnetons per cell.

=====

Entry 4:
Computed, not measured: a relaxed AlRuPb2 crystal at the PBE level of DFT.

Geometry as CIF:
```
data_AlRuPb2
_chemical_formula_sum 'Al1 Ru1 Pb2'
_symmetry_space_group_name_H-M 'P 1'
_symmetry_Int_Tables_number 1
_cell_length_a 4.9624
_cell_length_b 4.9624
_cell_length_c 4.9624
_cell_angle_alpha 60.00
_cell_angle_beta 60.00
_cell_angle_gamma 60.00
loop_
_symmetry_equiv_pos_as_xyz
'x,y,z'
loop_
_atom_site_label
_atom_site_type_symbol
_atom_site_fract_x
_atom_site_fract_y
_atom_site_fract_z
_atom_site_occupancy
Pb1 Pb 0.0000 0.0000 0.0000 1
Ru1 Ru 0.7500 0.7500 0.7500 1
Al1 Al 0.5000 0.5000 0.5000 1
Pb2 Pb 0.2500 0.2500 0.2500 1
```

Results
The calculated formation energy is 54.2 kJ per mole of atoms. Its calculated volume is 86.4 Å³ per cell. The magnetic moment is 0.0 Bohr magnetons per cell.

=====

Entry 5:
Computed, not measured: a relaxed La8Ge3SbBr4 crystal at the PBE level of DFT.

Geometry as CIF:
```
data_La8Ge3SbBr4
_chemical_formula_sum 'La8 Ge3 Sb1 Br4'
_symmetry_space_group_name_H-M 'P 1'
_symmetry_Int_Tables_number 1
_cell_length_a 8.9699
_cell_length_b 8.8540
_cell_length_c 8.9700
_cell_angle_alpha 120.44
_cell_angle_beta 120.00
_cell_angle_gamma 90.00
loop_
_symmetry_equiv_pos_as_xyz
'x,y,z'
loop_
_atom_site_label
_atom_site_type_symbol
_atom_site_fract_x
_atom_site_fract_y
_atom_site_fract_z
_atom_site_occupancy
Sb1 Sb 0.0000 0.5000 0.0000 1
Br1 Br 0.0000 0.0000 0.5000 1
La1 La 0.7274 0.7285 0.9780 1
La2 La 0.7495 0.2715 0.4989 1
Ge1 Ge 0.5000 0.5000 0.5000 1
Br2 Br 0.5000 0.0000 0.5000 1
La3 La 0.2726 0.2715 0.0220 1
La4 La 0.7495 0.2715 0.0220 1
La5 La 0.2505 0.7285 0.9780 1
La6 La 0.2505 0.7285 0.5011 1
Ge2 Ge 0.5000 0.5000 0.0000 1
La7 La 0.7402 0.7206 0.4804 1
La8 La 0.2598 0.2794 0.5196 1
Ge3 Ge 0.0000 0.5000 0.5000 1
Br3 Br 0.5000 0.0000 0.0000 1
Br4 Br 0.0000 0.0000 0.0000 1
```

Results
The value obtained for the formation energy without anion corrections is -1259 meV/atom. Its calculated volume is 500.4 Å³ per cell. The magnetic moment is 0.0 Bohr magnetons per cell.

=====

Entry 6:
Computed, not measured: a relaxed HfOsPb3 crystal at the PBE level of DFT.

Geometry as CIF:
```
data_HfOsPb3
_chemical_formula_sum 'Hf1 Os1 Pb3'
_symmetry_space_group_name_H-M 'P 1'
_symmetry_Int_Tables_number 1
_cell_length_a 5.2591
_cell_length_b 5.2591
_cell_length_c 5.2591
_cell_angle_alpha 90.00
_cell_angle_beta 90.00
_cell_angle_gamma 90.00
loop_
_symmetry_equiv_pos_as_xyz
'x,y,z'
loop_
_atom_site_label
_atom_site_type_symbol
_atom_site_fract_x
_atom_site_fract_y
_atom_site_fract_z
_atom_site_occupancy
Os1 Os 0.0000 0.0000 0.0000 1
Pb1 Pb 0.0000 0.0000 0.5000 1
Pb2 Pb 0.0000 0.5000 0.0000 1
Pb3 Pb 0.5000 0.0000 0.0000 1
Hf1 Hf 0.5000 0.5000 0.5000 1
```

Results
The calculated formation energy is 102.1 kJ per mole of atoms. Its calculated volume is 145.5 Å³ per cell. The magnetic moment is 0.2 Bohr magnetons per cell.

=====

Entry 7:
Computed, not measured: a relaxed LaHf2FeMo crystal at the PBE level of DFT.

Geometry as CIF:
```
data_LaHf2FeMo
_chemical_formula_sum 'La1 Hf2 Fe1 Mo1'
_symmetry_space_group_name_H-M 'P 1'
_symmetry_Int_Tables_number 1
_cell_length_a 5.0688
_cell_length_b 4.6550
_cell_length_c 5.0688
_cell_angle_alpha 90.00
_cell_angle_beta 90.00
_cell_angle_gamma 90.00
loop_
_symmetry_equiv_pos_as_xyz
'x,y,z'
loop_
_atom_site_label
_atom_site_type_symbol
_atom_site_fract_x
_atom_site_fract_y
_atom_site_fract_z
_atom_site_occupancy
La1 La 0.0000 0.0000 0.0000 1
Mo1 Mo 0.0000 0.5000 0.0000 1
Hf1 Hf 0.0000 0.0000 0.5000 1
Fe1 Fe 0.5000 0.5000 0.5000 1
Hf2 Hf 0.5000 0.0000 0.0000 1
```

Results
The calculated formation energy is 212.4 kJ per mole of atoms. Its calculated volume is 119.6 Å³ per cell. The magnetic moment is 0.2 Bohr magnetons per cell.

=====

Entry 8:
Computed, not measured: a relaxed LiSbS2O8 crystal at the PBE level of DFT.

Geometry as CIF:
```
data_LiSbS2O8
_chemical_formula_sum 'Li1 Sb1 S2 O8'
_symmetry_space_group_name_H-M 'P 1'
_symmetry_Int_Tables_number 1
_cell_length_a 5.1792
_cell_length_b 5.1792
_cell_length_c 6.5574
_cell_angle_alpha 90.00
_cell_angle_beta 90.00
_cell_angle_gamma 120.00
loop_
_symmetry_equiv_pos_as_xyz
'x,y,z'
loop_
_atom_site_label
_atom_site_type_symbol
_atom_site_fract_x
_atom_site_fract_y
_atom_site_fract_z
_atom_site_occupancy
O1 O 0.3333 0.6667 0.4775 1
O2 O 0.8244 0.1756 0.2218 1
S1 S 0.6667 0.3333 0.2968 1
O3 O 0.1756 0.8244 0.7782 1
O4 O 0.3512 0.1756 0.2218 1
S2 S 0.3333 0.6667 0.7032 1
Li1 Li 0.0000 0.0000 0.0000 1
Sb1 Sb 0.0000 0.0000 0.5000 1
O5 O 0.6488 0.8244 0.7782 1
O6 O 0.8244 0.6488 0.2218 1
O7 O 0.1756 0.3512 0.7782 1
O8 O 0.6667 0.3333 0.5225 1
```

Results
The value obtained for the formation energy without anion corrections is -1413 meV/atom. Its calculated volume is 152.3 Å³ per cell. The magnetic moment is 0.0 Bohr magnetons per cell.

=====

Entry 9:
Computed, not measured: a relaxed Rb3U2CuO9 crystal at the PBE level of DFT.

Geometry as CIF:
```
data_Rb3U2CuO9
_chemical_formula_sum 'Rb3 U2 Cu1 O9'
_symmetry_space_group_name_H-M 'P 1'
_symmetry_Int_Tables_number 1
_cell_length_a 5.9783
_cell_length_b 5.9783
_cell_length_c 7.3256
_cell_angle_alpha 90.00
_cell_angle_beta 90.00
_cell_angle_gamma 120.00
loop_
_symmetry_equiv_pos_as_xyz
'x,y,z'
loop_
_atom_site_label
_atom_site_type_symbol
_atom_site_fract_x
_atom_site_fract_y
_atom_site_fract_z
_atom_site_occupancy
Rb1 Rb 0.3333 0.6667 0.6612 1
O1 O 0.8314 0.6629 0.6693 1
U1 U 0.6667 0.3333 0.8203 1
O2 O 0.0000 0.5000 0.0000 1
O3 O 0.8314 0.1686 0.6693 1
O4 O 0.6629 0.8314 0.3307 1
O5 O 0.5000 0.0000 0.0000 1
O6 O 0.1686 0.3371 0.3307 1
Rb2 Rb 0.6667 0.3333 0.3388 1
O7 O 0.3371 0.1686 0.6693 1
O8 O 0.5000 0.5000 0.0000 1
Cu1 Cu 0.0000 0.0000 0.5000 1
Rb3 Rb 0.0000 0.0000 0.0000 1
O9 O 0.1686 0.8314 0.3307 1
U2 U 0.3333 0.6667 0.1797 1
```

Results
The value obtained for the formation energy without anion corrections is -2245 meV/atom. Its calculated volume is 226.7 Å³ per cell. The magnetic moment is 2.1 Bohr magnetons per cell.

=====

Entry 10:
Computed, not measured: a relaxed CaAcSmHo crystal at the PBE level of DFT.

Geometry as CIF:
```
data_CaAcSmHo
_chemical_formula_sum 'Ca1 Ac1 Sm1 Ho1'
_symmetry_space_group_name_H-M 'P 1'
_symmetry_Int_Tables_number 1
_cell_length_a 5.9540
_cell_length_b 5.9540
_cell_length_c 5.9540
_cell_angle_alpha 60.00
_cell_angle_beta 60.00
_cell_angle_gamma 60.00
loop_
_symmetry_equiv_pos_as_xyz
'x,y,z'
loop_
_atom_site_label
_atom_site_type_symbol
_atom_site_fract_x
_atom_site_fract_y
_atom_site_fract_z
_atom_site_occupancy
Ac1 Ac 0.5000 0.5000 0.5000 1
Sm1 Sm 0.0000 0.0000 0.0000 1
Ca1 Ca 0.2500 0.2500 0.2500 1
Ho1 Ho 0.7500 0.7500 0.7500 1
```

Results
The calculated formation energy is 11.1 kJ per mole of atoms. Its calculated volume is 149.2 Å³ per cell. The magnetic moment is 0.0 Bohr magnetons per cell.

=====

Entry 11:
Computed, not measured: a relaxed LaErPb2 crystal at the PBE level of DFT.

Geometry as CIF:
```
data_LaErPb2
_chemical_formula_sum 'La4 Er4 Pb8'
_symmetry_space_group_name_H-M 'P 1'
_symmetry_Int_Tables_number 1
_cell_length_a 9.3577
_cell_length_b 6.1255
_cell_length_c 10.6320
_cell_angle_alpha 95.98
_cell_angle_beta 108.64
_cell_angle_gamma 114.70
loop_
_symmetry_equiv_pos_as_xyz
'x,y,z'
loop_
_atom_site_label
_atom_site_type_symbol
_atom_site_fract_x
_atom_site_fract_y
_atom_site_fract_z
_atom_site_occupancy
La1 La 0.9317 0.1817 0.3634 1
La2 La 0.0683 0.8183 0.6366 1
Pb1 Pb 0.9216 0.6423 0.8744 1
Pb2 Pb 0.8125 0.0875 0.6264 1
Pb3 Pb 0.1875 0.9125 0.3736 1
Er1 Er 0.5545 0.3045 0.6090 1
La3 La 0.3086 0.0586 0.1172 1
Er2 Er 0.8168 0.5668 0.1335 1
Pb4 Pb 0.6861 0.4611 0.3736 1
Pb5 Pb 0.5472 0.7679 0.1256 1
La4 La 0.6914 0.9414 0.8828 1
Er3 Er 0.1832 0.4332 0.8665 1
Pb6 Pb 0.0784 0.3577 0.1256 1
Er4 Er 0.4455 0.6955 0.3910 1
Pb7 Pb 0.3139 0.5389 0.6264 1
Pb8 Pb 0.4528 0.2321 0.8744 1
```

Results
The calculated formation energy is -46.6 kJ per mole of atoms. Its calculated volume is 504.2 Å³ per cell. The magnetic moment is 0.0 Bohr magnetons per cell.

=====

Entry 12:
Computed, not measured: a relaxed Mg4Se3S crystal at the PBE level of DFT.

Geometry as CIF:
```
data_Mg4Se3S
_chemical_formula_sum 'Mg4 Se3 S1'
_symmetry_space_group_name_H-M 'P 1'
_symmetry_Int_Tables_number 1
_cell_length_a 5.4431
_cell_length_b 5.4431
_cell_length_c 5.4431
_cell_angle_alpha 90.00
_cell_angle_beta 90.00
_cell_angle_gamma 90.00
loop_
_symmetry_equiv_pos_as_xyz
'x,y,z'
loop_
_atom_site_label
_atom_site_type_symbol
_atom_site_fract_x
_atom_site_fract_y
_atom_site_fract_z
_atom_site_occupancy
Mg1 Mg 0.0000 0.0000 0.5000 1
Mg2 Mg 0.0000 0.5000 0.0000 1
Mg3 Mg 0.5000 0.0000 0.0000 1
S1 S 0.0000 0.0000 0.0000 1
Se1 Se 0.5000 0.5000 0.0000 1
Se2 Se 0.5000 0.0000 0.5000 1
Mg4 Mg 0.5000 0.5000 0.5000 1
Se3 Se 0.0000 0.5000 0.5000 1
```

Results
The value obtained for the formation energy without anion corrections is -1274 meV/atom. Its calculated volume is 161.3 Å³ per cell. The magnetic moment is 0.0 Bohr magnetons per cell.

=====

Among the records above, which one has the lowest calculated volume? CoRu2W

=====

What is the magnetic moment in the sixth record? 0.2 Bohr magnetons per cell